Entry 1:
VASP calculation (PBE) on a geometry-optimized CrReTcMo structure.

The value obtained for the density of states at the Fermi level is 19.65 states/eV/cell. The energy relative to the elements is 0.101 eV/atom.

It has space group F-43m (No. 216), with a = 6.133 Å, b = 6.133 Å, c = 6.133 Å, α = 90.00°, β = 90.00° and γ = 90.00°. The inequivalent atoms are Cr at (0.000, 0.000, 0.000), Re at (0.250, 0.250, 0.750), Tc at (0.250, 0.250, 0.250) and Mo at (0.000, 0.000, 0.500).

***

Entry 2:
VASP calculation (PBE) on a geometry-optimized Sm8Zn2Cu structure.

The value obtained for the density of states at the Fermi level is 22.21 states/eV/cell. The energy relative to the elements is -0.104 eV/atom.

It has space group C2/m (No. 12), with a = 18.027 Å, b = 5.170 Å, c = 6.842 Å, α = 90.00°, β = 103.53° and γ = 90.00°. The inequivalent atoms are Sm at (0.027, 0.000, 0.275), Sm at (0.091, 0.500, 0.951), Sm at (0.160, 0.500, 0.465), Sm at (0.201, 0.000, 0.814), Zn at (0.190, 0.000, 0.236) and Cu at (0.000, 0.500, 0.500).

***

Entry 3:
VASP calculation (PBE) on a geometry-optimized Y2Ni4Ge3Ir structure.

The value obtained for the density of states at the Fermi level is 8.96 states/eV/cell. The energy relative to the elements is -0.598 eV/atom.

It has space group P-4m2 (No. 115), with a = 4.001 Å, b = 4.001 Å, c = 10.096 Å, α = 90.00°, β = 90.00° and γ = 90.00°. The inequivalent atoms are Y at (0.000, 0.500, 0.249), Ni at (0.000, 0.000, 0.000), Ni at (0.000, 0.500, 0.642), Ni at (0.500, 0.500, 0.000), Ge at (0.000, 0.500, 0.873), Ge at (0.500, 0.500, 0.500) and Ir at (0.000, 0.000, 0.500).

***

Entry 4:
VASP calculation (PBE) on a geometry-optimized SrCaSc structure.

The value obtained for the density of states at the Fermi level is 20.73 states/eV/cell. The energy relative to the elements is 0.264 eV/atom.

It has space group Fmm2 (No. 42), with a = 4.340 Å, b = 5.887 Å, c = 17.541 Å, α = 90.00°, β = 90.00° and γ = 90.00°. The inequivalent atoms are Sr at (0.000, 0.000, 0.000), Ca at (0.000, 0.000, 0.690) and Sc at (0.000, 0.000, 0.340).

***

Entry 5:
VASP calculation (PBE) on a geometry-optimized Sr2Cd5Hg5 structure.

The value obtained for the density of states at the Fermi level is 4.48 states/eV/cell. The energy relative to the elements is -0.233 eV/atom.

It has space group Pmmm (No. 47), with a = 5.230 Å, b = 5.867 Å, c = 10.556 Å, α = 90.00°, β = 90.00° and γ = 90.00°. The inequivalent atoms are Sr at (0.000, 0.000, 0.000), Sr at (0.000, 0.500, 0.500), Cd at (0.500, 0.000, 0.500), Cd at (0.500, 0.250, 0.252), Hg at (0.000, 0.000, 0.332), Hg at (0.000, 0.500, 0.171) and Hg at (0.500, 0.500, 0.000).

***

Entry 6:
VASP calculation (PBE) on a geometry-optimized SiTe4Pd structure.

The value obtained for the density of states at the Fermi level is 2.09 states/eV/cell. Its formation energy without anion corrections is -0.154 eV/atom.

It has space group C2/m (No. 12), with a = 12.171 Å, b = 3.978 Å, c = 6.739 Å, α = 90.00°, β = 100.06° and γ = 90.00°. The inequivalent atoms are Si at (0.000, 0.000, 0.000), Te at (0.122, 0.000, 0.371), Te at (0.129, 0.500, 0.874) and Pd at (0.000, 0.500, 0.500).

***

Entry 7:
VASP calculation (PBE) on a geometry-optimized InSb2Br2 structure.

The value obtained for the density of states at the Fermi level is 9.13 states/eV/cell. Its formation energy without anion corrections is 0.156 eV/atom.

It has space group P4/mbm (No. 127), with a = 9.643 Å, b = 9.643 Å, c = 3.307 Å, α = 90.00°, β = 90.00° and γ = 90.00°. The inequivalent atoms are In at (0.000, 0.000, 0.000), Sb at (0.207, 0.293, 0.500) and Br at (0.122, 0.622, 0.000).

***

Entry 8:
VASP calculation (PBE) on a geometry-optimized Li2DyInBr6 structure.

The value obtained for the density of states at the Fermi level is 0.00 states/eV/cell. Its formation energy without anion corrections is -1.467 eV/atom.

It has space group R3 (No. 146, hexagonal axes), with a = 7.2810 Å, b = 7.2810 Å, c = 19.9675 Å, α = 90.00°, β = 90.00° and γ = 120.00°. The inequivalent atoms are Li at (0.0000, 0.0000, 0.0000), Li at (0.0000, 0.0000, 0.4909), Dy at (0.0000, 0.0000, 0.8062), In at (0.0000, 0.0000, 0.2872), Br at (0.0038, 0.3295, 0.0715) and Br at (0.0833, 0.7411, 0.5649).

***

Entry 9:
VASP calculation (PBE) on a geometry-optimized CaPm2Hg structure.

The value obtained for the density of states at the Fermi level is 5.41 states/eV/cell. The energy relative to the elements is -0.166 eV/atom.

It has space group P4/mmm (No. 123), with a = 3.842 Å, b = 3.842 Å, c = 8.944 Å, α = 90.00°, β = 90.00° and γ = 90.00°. The inequivalent atoms are Ca at (0.000, 0.000, 0.000), Pm at (0.500, 0.500, 0.297) and Hg at (0.000, 0.000, 0.500).

***

Entry 10:
VASP calculation (PBE) on a geometry-optimized Rb3PuPa2Te6 structure.

The value obtained for the density of states at the Fermi level is 52.02 states/eV/cell. Its formation energy without anion corrections is -0.995 eV/atom.

It has space group C2/m (No. 12), with a = 7.816 Å, b = 13.538 Å, c = 9.065 Å, α = 90.00°, β = 106.70° and γ = 90.00°. The inequivalent atoms are Rb at (0.000, 0.000, 0.000), Rb at (0.000, 0.335, 0.000), Pu at (0.000, 0.500, 0.500), Pa at (0.000, 0.167, 0.500), Te at (0.229, 0.000, 0.704) and Te at (0.238, 0.330, 0.704).

***

Entry 11:
VASP calculation (PBE) on a geometry-optimized Ho5Tl2Cd structure.

The value obtained for the density of states at the Fermi level is 32.43 states/eV/cell. The energy relative to the elements is -0.139 eV/atom.

It has space group Cmcm (No. 63), with a = 4.636 Å, b = 11.100 Å, c = 17.511 Å, α = 90.00°, β = 90.00° and γ = 90.00°. The inequivalent atoms are Ho at (0.000, 0.045, 0.098), Ho at (0.000, 0.347, 0.039), Ho at (0.000, 0.454, 0.250), Tl at (0.000, 0.241, 0.650) and Cd at (0.000, 0.166, 0.250).

***

Entry 12:
VASP calculation (PBE) on a geometry-optimized Ac2MgP3Pt4 structure.

The value obtained for the density of states at the Fermi level is 5.79 states/eV/cell. The energy relative to the elements is -0.954 eV/atom.

It has space group P-4m2 (No. 115), with a = 4.347 Å, b = 4.347 Å, c = 10.357 Å, α = 90.00°, β = 90.00° and γ = 90.00°. The inequivalent atoms are Ac at (0.000, 0.500, 0.240), Mg at (0.000, 0.000, 0.500), P at (0.000, 0.500, 0.872), P at (0.500, 0.500, 0.500), Pt at (0.000, 0.000, 0.000), Pt at (0.000, 0.500, 0.637) and Pt at (0.500, 0.500, 0.000).

***

Entry 13:
VASP calculation (PBE) on a geometry-optimized Sm3MnC3 structure.

The value obtained for the density of states at the Fermi level is 14.28 states/eV/cell. The energy relative to the elements is -0.209 eV/atom.

It has space group Cmcm (No. 63), with a = 8.615 Å, b = 10.521 Å, c = 5.263 Å, α = 90.00°, β = 90.00° and γ = 90.00°. The inequivalent atoms are Sm at (0.000, 0.108, 0.250), Sm at (0.208, 0.379, 0.250), Mn at (0.000, 0.300, 0.750), C at (0.000, 0.126, 0.750) and C at (0.192, 0.369, 0.750).

***

Entry 14:
VASP calculation (PBE) on a geometry-optimized NdTm2Sb3 structure.

The value obtained for the density of states at the Fermi level is 2.49 states/eV/cell. Its formation energy without anion corrections is -1.096 eV/atom.

It has space group Immm (No. 71), with a = 4.401 Å, b = 6.234 Å, c = 13.194 Å, α = 90.00°, β = 90.00° and γ = 90.00°. The inequivalent atoms are Nd at (0.000, 0.000, 0.000), Tm at (0.000, 0.000, 0.335), Sb at (0.000, 0.500, 0.000) and Sb at (0.000, 0.500, 0.327).

***

Entry 15:
VASP calculation (PBE) on a geometry-optimized NiHgP2 structure.

The value obtained for the density of states at the Fermi level is 4.30 states/eV/cell. The energy relative to the elements is 0.571 eV/atom.

It has space group I4/mmm (No. 139), with a = 3.677 Å, b = 3.677 Å, c = 9.585 Å, α = 90.00°, β = 90.00° and γ = 90.00°. The inequivalent atoms are Ni at (0.000, 0.000, 0.000), Hg at (0.000, 0.000, 0.500) and P at (0.000, 0.500, 0.250).

***

Entry 16:
VASP calculation (PBE) on a geometry-optimized AcEuHo2 structure.

The value obtained for the density of states at the Fermi level is 25.13 states/eV/cell. The energy relative to the elements is 0.150 eV/atom.

It has space group Fm-3m (No. 225), with a = 8.367 Å, b = 8.367 Å, c = 8.367 Å, α = 90.00°, β = 90.00° and γ = 90.00°. The inequivalent atoms are Ac at (0.000, 0.000, 0.000), Eu at (0.000, 0.000, 0.500) and Ho at (0.250, 0.250, 0.250).

***

Entry 17:
VASP calculation (PBE) on a geometry-optimized Rb2ScGe2 structure.

The value obtained for the density of states at the Fermi level is 11.58 states/eV/cell. The energy relative to the elements is 0.105 eV/atom.

It has space group P4/mbm (No. 127), with a = 7.309 Å, b = 7.309 Å, c = 6.085 Å, α = 90.00°, β = 90.00° and γ = 90.00°. The inequivalent atoms are Rb at (0.175, 0.325, 0.000), Sc at (0.000, 0.000, 0.500) and Ge at (0.121, 0.621, 0.500).

***

Entry 18:
VASP calculation (PBE) on a geometry-optimized Ca2Be3AlGe4 structure.

The value obtained for the density of states at the Fermi level is 1.12 states/eV/cell. The energy relative to the elements is -0.263 eV/atom.

It has space group P-4m2 (No. 115), with a = 4.140 Å, b = 4.140 Å, c = 9.986 Å, α = 90.00°, β = 90.00° and γ = 90.00°. The inequivalent atoms are Ca at (0.000, 0.500, 0.241), Be at (0.000, 0.500, 0.874), Be at (0.500, 0.500, 0.500), Al at (0.000, 0.000, 0.500), Ge at (0.000, 0.000, 0.000), Ge at (0.000, 0.500, 0.643) and Ge at (0.500, 0.500, 0.000).

***

Entry 19:
VASP calculation (PBE) on a geometry-optimized KCrSe2 structure.

The value obtained for the density of states at the Fermi level is 0.10 states/eV/cell. Its formation energy without anion corrections is -0.713 eV/atom.

It has space group I-42d (No. 122), with a = 7.410 Å, b = 7.410 Å, c = 8.466 Å, α = 90.00°, β = 90.00° and γ = 90.00°. The inequivalent atoms are K at (0.000, 0.000, 0.000), Cr at (0.000, 0.000, 0.500) and Se at (0.150, 0.250, 0.625).

***

Entry 20:
VASP calculation (PBE) on a geometry-optimized TmH4IrPt2 structure.

The calculation puts the total energy at -41.4 eV/f.u. The value obtained for the density of states at the Fermi level is 3.71 states/eV/cell.

It has space group C2 (No. 5), with a = 5.801 Å, b = 8.219 Å, c = 4.548 Å, α = 90.00°, β = 128.95° and γ = 90.00°. The inequivalent atoms are Tm at (0.000, 0.000, 0.000), H at (0.194, 0.623, 0.400), H at (0.228, 0.277, 0.011), Ir at (0.000, 0.751, 0.500), Pt at (0.000, 0.261, 0.500) and Pt at (0.000, 0.484, 0.000).

***

Entry 21:
VASP calculation (PBE) on a geometry-optimized Tm2PuCo structure.

The value obtained for the density of states at the Fermi level is 8.70 states/eV/cell. The energy relative to the elements is -0.049 eV/atom.

It has space group P4/mmm (No. 123), with a = 3.308 Å, b = 3.308 Å, c = 8.628 Å, α = 90.00°, β = 90.00° and γ = 90.00°. The inequivalent atoms are Tm at (0.000, 0.000, 0.186), Pu at (0.500, 0.500, 0.500) and Co at (0.500, 0.500, 0.000).

***

Entry 22:
VASP calculation (PBE) on a geometry-optimized RbCo2IrRu structure.

The value obtained for the density of states at the Fermi level is 9.70 states/eV/cell. The energy relative to the elements is 2.077 eV/atom.

It has space group P4/mmm (No. 123), with a = 4.665 Å, b = 4.665 Å, c = 5.600 Å, α = 90.00°, β = 90.00° and γ = 90.00°. The inequivalent atoms are Rb at (0.000, 0.000, 0.000), Co at (0.000, 0.500, 0.500), Ir at (0.000, 0.000, 0.500) and Ru at (0.500, 0.500, 0.000).

***

Entry 23:
VASP calculation (PBE) on a geometry-optimized La4ZnCuRh2O12 structure.

The value obtained for the density of states at the Fermi level is 12.31 states/eV/cell. Its formation energy without anion corrections is -2.159 eV/atom.

It has space group P-1 (No. 2), with a = 5.578 Å, b = 5.798 Å, c = 7.910 Å, α = 90.12°, β = 90.01° and γ = 90.00°. The inequivalent atoms are La at (0.013, 0.059, 0.251), La at (0.485, 0.560, 0.249), Zn at (0.500, 0.000, 0.000), Cu at (0.000, 0.500, 0.500), Rh at (0.000, 0.500, 0.000), Rh at (0.500, 0.000, 0.500), O at (0.094, 0.526, 0.751), O at (0.192, 0.793, 0.050), O at (0.203, 0.802, 0.451), O at (0.297, 0.304, 0.048), O at (0.306, 0.291, 0.449) and O at (0.406, 0.027, 0.748).

***

It is found that the spin magnetization values, taken in the order of the records, are 0.024 0.000 0.000 0.007 0.000 0.000 0.000 0.000 0.001 18.029 0.000 0.000 0.002 0.000 0.000 28.812 2.003 0.000 12.000 0.000 7.118 7.812 3.091 Bohr magnetons per cell.